# Li2VGe4 (PBE, relaxed)
# DOS(E_F) (states/eV/atom): 0.2545
# Total magnetization (μB/f.u.): 0.00
# E (eV/atom): -4.4107
data_Li2VGe4
_cell_length_a 4.711
_cell_length_b 4.711
_cell_length_c 13.089
_cell_angle_alpha 90.00
_cell_angle_beta 90.00
_cell_angle_gamma 90.00
_space_group_name_H-M_alt 'I 4/m m m'
_space_group_IT_number 139
_space_group_name_Hall '-I 4 2'
loop_
_atom_site_label
_atom_site_fract_x
_atom_site_fract_y
_atom_site_fract_z
Li1 0.000 0.000 0.120
V1 0.000 0.000 0.500
Ge1 0.000 0.000 0.316
Ge2 0.000 0.500 0.000

---

# CsTi2Au (PBE, relaxed)
# DOS(E_F) (states/eV/atom): 1.6748
# Total magnetization (μB/f.u.): 0.00
# Energy above the lowest structure with this stoichiometry (eV/f.u.): 0.08
data_CsTi2Au
_cell_length_a 4.914
_cell_length_b 4.914
_cell_length_c 20.332
_cell_angle_alpha 90.00
_cell_angle_beta 90.00
_cell_angle_gamma 90.00
_space_group_name_H-M_alt 'I 41/a m d'
_space_group_IT_number 141
loop_
_space_group_symop_operation_xyz
'x,y,z'
'-x,-y,-z'
'-y+1/4,x+3/4,z+1/4'
'y+1/4,-x+3/4,-z+1/4'
'-x+1/2,-y,z+1/2'
'x+1/2,y,-z+1/2'
'y+1/4,-x+1/4,z+3/4'
'-y+1/4,x+1/4,-z+3/4'
'x,-y,-z'
'-x,y,z'
'-y+1/4,-x+1/4,-z+3/4'
'y+1/4,x+1/4,z+3/4'
'-x+1/2,y,-z+1/2'
'x+1/2,-y,z+1/2'
'y+1/4,x+3/4,-z+1/4'
'-y+1/4,-x+3/4,z+1/4'
'x+1/2,y+1/2,z+1/2'
'-x+1/2,-y+1/2,-z+1/2'
'-y+3/4,x+1/4,z+3/4'
'y+3/4,-x+1/4,-z+3/4'
'-x,-y+1/2,z'
'x,y+1/2,-z'
'y+3/4,-x+3/4,z+1/4'
'-y+3/4,x+3/4,-z+1/4'
'x+1/2,-y+1/2,-z+1/2'
'-x+1/2,y+1/2,z+1/2'
'-y+3/4,-x+3/4,-z+1/4'
'y+3/4,x+3/4,z+1/4'
'-x,y+1/2,-z'
'x,-y+1/2,z'
'y+3/4,x+1/4,-z+3/4'
'-y+3/4,-x+1/4,z+3/4'
loop_
_atom_site_label
_atom_site_fract_x
_atom_site_fract_y
_atom_site_fract_z
Cs1 0.000 0.250 0.375
Ti1 0.000 0.000 0.000
Au1 0.000 0.250 0.875